VASP calculation (PBE) on an optimized crystal structure of CaBP2O.

Results
**Energy above the lowest structure with this stoichiometry**: 148.5 kJ/mol of atoms
**E_form (uncorrected)**: 7.384 eV per formula unit
**SG**: P4/mmm, No. 123

Cell lengths 5.344, 5.344, 4.159 Å; angles 90.00, 90.00, 90.00 degrees
Atoms (fractional coordinates):
Ca 0.000 0.000 0.000
B 0.500 0.500 0.500
P 0.000 0.500 0.000
P 0.500 0.000 0.000
O 0.000 0.000 0.500


VASP calculation (PBE) on an optimized crystal structure of Zr2PaPb.

Results
**Calculated formation energy**: 21.4 meV/atom
**Energy above the lowest structure with this stoichiometry**: 11.7 kJ/mol of atoms
**SG**: Cm, No. 8

Cell lengths 3.277, 3.277, 10.755 Å; angles 98.90, 98.90, 59.97 degrees
Atoms (fractional coordinates):
Zr 0.000 0.000 0.000
Zr 0.168 0.168 0.506
Pa 0.418 0.418 0.253
Pb 0.584 0.584 0.753


VASP calculation (PBE) on an optimized crystal structure of RbBaAs.

Results
**Calculated formation energy**: -767.7 meV/atom
**SG**: Pnma, No. 62

Cell lengths 9.122, 5.543, 9.609 Å; angles 90.00, 90.00, 90.00 degrees
Atoms (fractional coordinates):
Rb 0.018 0.250 0.172
Rb 0.482 0.750 0.672
Rb 0.518 0.250 0.328
Rb 0.982 0.750 0.828
Ba 0.154 0.250 0.587
Ba 0.346 0.750 0.087
Ba 0.654 0.250 0.913
Ba 0.846 0.750 0.413
As 0.209 0.750 0.403
As 0.291 0.250 0.903
As 0.709 0.750 0.097
As 0.791 0.250 0.597


Number 1: magnetic moment 1.1 μB/f.u.. Number 2: magnetic moment 0.0 μB/f.u.. Number 3: magnetic moment 0.0 μB/f.u..